LaAsOs2: relaxed, GGA-PBE.

Results
Energy in eV per cell: -30.5

a b c (Å): 3.108 3.108 7.509
angles (deg): 90.00 90.00 90.00
Space group P4/mmm (No. 123)
Inequivalent atoms, fractional coordinates:
La: 0.000 0.000 0.000 [1 per cell]
As: 0.000 0.000 0.500 [1 per cell]
Os: 0.500 0.500 0.309 [2 per cell]


RbHf2Tc: relaxed, GGA-PBE.

Results
Offset from the most stable computed form in kJ/mol of formula units: 0

a b c (Å): 7.008 7.008 7.008
angles (deg): 90.00 90.00 90.00
Space group Fm-3m (No. 225)
Inequivalent atoms, fractional coordinates:
Rb: 0.000 0.000 0.000 [4 per cell]
Hf: 0.250 0.250 0.250 [8 per cell]
Tc: 0.000 0.000 0.500 [4 per cell]


NdEuCdPb: relaxed, GGA-PBE.

Results
Energy in eV per cell: -85.9

a b c (Å): 7.848 7.848 7.848
angles (deg): 90.00 90.00 90.00
Space group F-43m (No. 216)
Inequivalent atoms, fractional coordinates:
Nd: 0.000 0.000 0.000 [4 per cell]
Eu: 0.000 0.000 0.500 [4 per cell]
Cd: 0.250 0.250 0.750 [4 per cell]
Pb: 0.250 0.250 0.250 [4 per cell]


Hg3IrPd3O8: relaxed, GGA-PBE.

Results
Formation energy (no corrections) in eV/atom: -0.338

a b c (Å): 10.812 6.219 8.103
angles (deg): 90.00 115.71 90.00
Space group C2/m (No. 12)
Inequivalent atoms, fractional coordinates:
Hg: 0.000 0.000 0.000 [2 per cell]
Hg: 0.250 0.250 0.000 [4 per cell]
Ir: 0.000 0.000 0.500 [2 per cell]
Pd: 0.000 0.500 0.500 [2 per cell]
Pd: 0.250 0.250 0.500 [4 per cell]
O: 0.039 0.247 0.364 [8 per cell]
O: 0.209 0.000 0.636 [4 per cell]
O: 0.212 0.500 0.641 [4 per cell]


Fe2Re: relaxed, GGA-PBE.

Results
Energy in eV per cell: -109.2

a b c (Å): 3.281 3.281 14.248
angles (deg): 90.00 90.00 90.00
Space group I4_1/amd (No. 141, origin choice 2)
Inequivalent atoms, fractional coordinates:
Fe: 0.000 0.250 0.297 [8 per cell]
Re: 0.000 0.250 0.875 [4 per cell]


ZrBe: relaxed, GGA-PBE.

Results
Energy in eV per cell: -79.7

a b c (Å): 7.286 7.286 7.286
angles (deg): 90.00 90.00 90.00
Space group I-43m (No. 217)
Inequivalent atoms, fractional coordinates:
Zr: 0.209 0.209 0.791 [8 per cell]
Be: 0.099 0.099 0.099 [8 per cell]